First-principles (PBE) data for a geometry-optimized TcMo4 structure, as listed in Alexandria.

Computed properties:
symmetry = C2/m
energy of formation from the pure elements = 32.3 meV per atom
relative energy among the computed polymorphs = 0.000 eV per atom

a b c (Å): 2.7319 4.4518 6.8530
angles (deg): 108.95 97.57 90.00
With the nearest neighbours (Å) after each atom.
Fractional positions:
Tc  0.0000  0.0000  0.0000  6 Mo 2.72-2.73, 2 Tc 2.73
Mo  0.5919  0.4006  0.8013  6 Mo 2.69-2.74, 2 Tc 2.73
Mo  0.4081  0.5994  0.1987  6 Mo 2.69-2.74, 2 Tc 2.73
Mo  0.1985  0.7998  0.5997  7 Mo 2.72-2.74, 1 Tc 2.72
Mo  0.8015  0.2002  0.4003  7 Mo 2.72-2.74, 1 Tc 2.72